# MnGaGeSe2 | the Alexandria database | GGA-PBE | relaxed
# E   -4.9181 eV/atom
# Formation energy from raw total energies   -0.81 eV per formula unit
data_MnGaGeSe2
_cell_length_a 4.233
_cell_length_b 3.850
_cell_length_c 13.786
_cell_angle_alpha 90.00
_cell_angle_beta 96.64
_cell_angle_gamma 90.00
_space_group_name_H-M_alt 'P 1'
_space_group_IT_number 1
loop_
_space_group_symop_operation_xyz
'x,y,z'
loop_
_atom_site_label
_atom_site_type_symbol
_atom_site_fract_x
_atom_site_fract_y
_atom_site_fract_z
_atom_site_occupancy
Se1 Se 0.484 0.000 0.263 1
Mn1 Mn 0.647 0.500 0.379 1
Se2 Se 0.169 0.500 0.492 1
Ge1 Ge 0.807 0.000 0.538 1
Ga1 Ga 0.997 0.000 0.730 1
Se3 Se 0.484 0.500 0.763 1
Se4 Se 0.169 0.000 0.992 1
Mn2 Mn 0.647 0.000 0.879 1
Ga2 Ga 0.997 0.500 0.230 1
Ge2 Ge 0.807 0.500 0.038 1